1.
HgHO2 | GGA-PBE | optimized geometry

Properties
The energy above the most stable polymorph in this dataset is 0.000 eV/atom. For the density of states at the Fermi level, the calculation gives 0.78 states/eV per atom.

Unit cell a=4.940 b=4.940 c=4.940 alpha=41.75 beta=41.75 gamma=41.75
Each line ends with the local moment (μB).
Fractional coordinates of all 4 atoms:
O1 0.089 0.089 0.089  0.36
O2 0.911 0.911 0.911  0.36
Hg1 0.500 0.500 0.500  0.17
H1 0.000 0.000 0.000  0.00

---

2.
Hf3SbS | GGA-PBE | optimized geometry

Properties
The energy above the most stable polymorph in this dataset is 0.000 eV/atom. For the density of states at the Fermi level, the calculation gives 0.70 states/eV per atom. The uncorrected formation energy is -0.7868 eV per atom.

Unit cell a=3.718 b=10.371 c=10.371 alpha=90.00 beta=90.00 gamma=90.00
Fractional coordinates of all 20 atoms:
Hf1 0.250 0.279 0.707
Hf2 0.250 0.930 0.400
Hf3 0.750 0.430 0.100
Hf4 0.250 0.221 0.207
Hf5 0.250 0.644 0.544
Hf6 0.750 0.721 0.293
Hf7 0.750 0.144 0.956
Hf8 0.250 0.570 0.900
Hf9 0.750 0.070 0.600
Hf10 0.250 0.856 0.044
Hf11 0.750 0.356 0.456
Hf12 0.750 0.779 0.793
Sb1 0.250 0.995 0.799
Sb2 0.750 0.495 0.701
Sb3 0.250 0.505 0.299
Sb4 0.750 0.005 0.201
S1 0.750 0.678 0.041
S2 0.750 0.822 0.541
S3 0.250 0.322 0.959
S4 0.250 0.178 0.459

---

3.
CdTe2Se | GGA-PBE | optimized geometry

Properties
For the density of states at the Fermi level, the calculation gives 0.62 states/eV per atom. The uncorrected formation energy is 0.0695 eV per atom.

Unit cell a=8.989 b=8.989 c=8.989 alpha=153.63 beta=153.63 gamma=37.63
Fractional coordinates of all 4 atoms:
Se1 0.750 0.250 0.500
Cd1 0.250 0.750 0.500
Te1 0.000 0.000 0.000
Te2 0.500 0.500 0.000

---

4.
CrPb | GGA-PBE | optimized geometry

Properties
For the formation energy, the calculation gives 0.998 eV/atom. For the density of states at the Fermi level, the calculation gives 0.72 states/eV per atom.

Unit cell a=5.379 b=5.379 c=7.508 alpha=90.00 beta=90.00 gamma=120.00
Fractional coordinates of all 8 atoms:
Cr1 0.333 0.667 0.369
Cr2 0.667 0.333 0.869
Cr3 0.333 0.667 0.131
Cr4 0.667 0.333 0.631
Pb1 0.000 0.000 0.750
Pb2 0.000 0.000 0.250
Pb3 0.667 0.333 0.250
Pb4 0.333 0.667 0.750

---

5.
Rb3LiHg | GGA-PBE | optimized geometry

Properties
The energy above the most stable polymorph in this dataset is 0.000 eV/atom. For the formation energy, the calculation gives 0.093 eV/atom. For the density of states at the Fermi level, the calculation gives 0.95 states/eV per atom.

Unit cell a=6.979 b=6.979 c=6.979 alpha=90.00 beta=90.00 gamma=90.00
Fractional coordinates of all 5 atoms:
Rb1 0.000 0.500 0.000
Rb2 0.000 0.000 0.500
Rb3 0.500 0.000 0.000
Li1 0.500 0.500 0.500
Hg1 0.000 0.000 0.000

---

6.
KGaPb | GGA-PBE | optimized geometry

Properties
For the formation energy, the calculation gives -0.140 eV/atom. For the density of states at the Fermi level, the calculation gives 0.43 states/eV per atom.

Unit cell a=4.711 b=6.672 c=7.051 alpha=90.70 beta=109.47 gamma=110.67
Fractional coordinates of all 6 atoms:
K1 0.767 0.196 0.838
K2 0.233 0.804 0.162
Ga1 0.057 0.184 0.432
Ga2 0.943 0.816 0.568
Pb1 0.402 0.601 0.701
Pb2 0.598 0.399 0.299

---

7.
Ac2Nd2Sn2H | GGA-PBE | optimized geometry

Properties
For the density of states at the Fermi level, the calculation gives 1.11 states/eV per atom. The total energy is -4.777 eV/atom.

Unit cell a=4.861 b=4.861 c=9.678 alpha=104.54 beta=104.54 gamma=90.00
Each line ends with the local moment (μB).
Fractional coordinates of all 7 atoms:
Nd1 0.000 0.500 0.000  0.02
Nd2 0.500 0.000 0.000  0.02
Ac1 0.179 0.179 0.358  0.10
Ac2 0.821 0.821 0.642  0.10
Sn1 0.629 0.629 0.258  -0.01
Sn2 0.371 0.371 0.742  -0.01
H1 0.000 0.000 0.000  0.00

---

8.
LaY4Zn | GGA-PBE | optimized geometry

Properties
The energy above the most stable polymorph in this dataset is 0.084 eV/atom. For the formation energy, the calculation gives -0.015 eV/atom. For the density of states at the Fermi level, the calculation gives 1.69 states/eV per atom.

Unit cell a=6.274 b=9.094 c=8.207 alpha=114.55 beta=100.45 gamma=111.26
Fractional coordinates of all 12 atoms:
Y1 0.363 0.924 0.638
Y2 0.637 0.076 0.362
Y3 0.775 0.715 0.638
Y4 0.036 0.177 0.805
Y5 0.730 0.372 0.195
Y6 0.964 0.823 0.195
Y7 0.225 0.285 0.362
Y8 0.270 0.628 0.805
La1 0.363 0.613 0.226
La2 0.637 0.387 0.774
Zn1 0.751 0.001 0.002
Zn2 0.249 0.999 0.998